The following is a DFT calculation (GGA-PBE) of DyTm2MgRh4 after structural relaxation.

Computed properties:
- DOS(E_F): 2.4 states/eV per cell
- Space-group type: R-3m
- Spin magnetization: 0.00 μB per formula unit
- Formation energy: -0.86 eV per atom

Geometry as CIF:
```
data_DyTm2MgRh4
_chemical_formula_sum 'Dy1 Tm2 Mg1 Rh4'
_cell_length_a 4.704
_cell_length_b 4.704
_cell_length_c 8.169
_cell_angle_alpha 73.27
_cell_angle_beta 73.27
_cell_angle_gamma 60.00
_symmetry_space_group_name_H-M 'P 1'
_symmetry_Int_Tables_number 1
loop_
_symmetry_equiv_pos_as_xyz
'x,y,z'
loop_
_atom_site_label
_atom_site_type_symbol
_atom_site_fract_x
_atom_site_fract_y
_atom_site_fract_z
Rh1 Rh 0.623 0.623 0.130
Rh2 Rh 0.875 0.875 0.375
Rh3 Rh 0.377 0.377 0.870
Rh4 Rh 0.125 0.125 0.625
Dy1 Dy 0.000 0.000 0.000
Mg1 Mg 0.500 0.500 0.500
Tm1 Tm 0.755 0.755 0.734
Tm2 Tm 0.245 0.245 0.266
```